! PBE-GGA LiPuTcGe, relaxed; values from VASP
&SYSTEM
  ibrav = 0, nat = 4, ntyp = 4
/
ATOMIC_SPECIES
Li 6.94 Li.upf
Pu 244.00 Pu.upf
Tc 98.00 Tc.upf
Ge 72.64 Ge.upf
CELL_PARAMETERS angstrom
0.0000 3.2356 3.2356
3.2356 0.0000 3.2356
3.2356 3.2356 0.0000
ATOMIC_POSITIONS angstrom
Li 0.0000 0.0000 0.0000
Pu 1.6178 1.6178 1.6178
Tc 3.2356 3.2356 3.2356
Ge 4.8534 4.8534 4.8534
! energy of formation from the pure elements	-0.036	eV/atom
! electronic total energy	-7.843	eV per atom
! spin magnetization	4.84	μB per cell